Compound: V12Ga6Ni
Source: the Alexandria database
Functional: PBE
Structure: relaxed

Summary:
The spin magnetization is 0.00 μB/atom. The calculated formation energy comes out at -101 meV/atom. The value obtained for the mass density is 6.9 g/cm3. For the density of states at the Fermi level, the calculation gives 19.966 states/eV/f.u.

a = 6.4142 Å, b = 6.4142 Å, c = 6.4142 Å
α = 88.99°, β = 88.99°, γ = 88.99°
Sites, in units of the cell vectors:
V: 0.9324 0.8556 0.6198
V: 0.6198 0.9324 0.8556
V: 0.8556 0.6198 0.9324
V: 0.8078 0.5132 0.4330
V: 0.4868 0.5670 0.1922
V: 0.3802 0.0676 0.1444
V: 0.1444 0.3802 0.0676
V: 0.5670 0.1922 0.4868
V: 0.4330 0.8078 0.5132
V: 0.5132 0.4330 0.8078
V: 0.1922 0.4868 0.5670
V: 0.0676 0.1444 0.3802
Ni: 0.0000 0.0000 0.0000
Ga: 0.7462 0.2670 0.1222
Ga: 0.1222 0.7462 0.2670
Ga: 0.2538 0.7330 0.8778
Ga: 0.2670 0.1222 0.7462
Ga: 0.7330 0.8778 0.2538
Ga: 0.8778 0.2538 0.7330